No. 1
! MgZn | OQMD via LeMat-Bulk | PBE-GGA | relaxed; values from VASP
&SYSTEM
  ibrav = 0, nat = 16, ntyp = 2
/
ATOMIC_SPECIES
Mg 24.30 Mg.upf
Zn 65.41 Zn.upf
ATOMIC_POSITIONS angstrom
Mg 1.168 1.128 0.574
Mg 1.168 2.875 3.275
Mg 1.168 4.623 0.574
Mg 1.168 8.626 3.977
Mg 3.504 2.875 1.353
Mg 3.504 6.879 4.756
Mg 3.504 8.626 2.055
Mg 3.504 10.373 4.756
Zn 1.168 11.500 3.379
Zn 1.168 5.752 3.379
Zn 1.168 7.310 1.228
Zn 1.168 9.942 1.228
Zn 3.504 0.002 1.952
Zn 3.504 1.559 4.102
Zn 3.504 4.191 4.102
Zn 3.504 5.749 1.952
CELL_PARAMETERS angstrom
4.672 0.000 0.000
0.000 11.501 0.000
0.000 0.000 5.330
! - Crystal system: orthorhombic
! - Electronic total energy: -1.463 eV per atom



No. 2
! MgZn | OQMD via LeMat-Bulk | PBE-GGA | relaxed; values from VASP
&SYSTEM
  ibrav = 0, nat = 8, ntyp = 2
/
ATOMIC_SPECIES
Mg 24.30 Mg.upf
Zn 65.41 Zn.upf
ATOMIC_POSITIONS angstrom
Mg 0.749 1.128 0.733
Mg 2.046 3.385 3.556
Mg 3.545 1.128 2.090
Mg 4.842 3.385 4.913
Zn 0.305 1.128 3.565
Zn 2.491 3.385 0.742
Zn 3.100 1.128 4.904
Zn 5.286 3.385 2.081
CELL_PARAMETERS angstrom
5.591 0.000 0.000
0.000 4.514 0.000
0.000 0.000 5.646
! - Crystal system: orthorhombic
! - Electronic total energy: -1.488 eV per atom



No. 3
! MgZn6 | OQMD via LeMat-Bulk | PBE-GGA | relaxed; values from VASP
&SYSTEM
  ibrav = 0, nat = 7, ntyp = 2
/
ATOMIC_SPECIES
Mg 24.30 Mg.upf
Zn 65.41 Zn.upf
ATOMIC_POSITIONS angstrom
Mg 0.000 0.000 0.000
Zn 1.946 1.946 0.000
Zn 1.946 0.000 1.946
Zn 3.891 1.946 1.946
Zn 0.000 1.946 1.946
Zn 1.946 3.891 1.946
Zn 1.946 1.946 3.891
CELL_PARAMETERS angstrom
0.000 3.891 3.891
3.891 0.000 3.891
3.891 3.891 0.000
! - Crystal system: cubic
! - Distance to the lowest polymorph of the same formula: 0.173 eV per formula unit



No. 4
! MgZn | OQMD via LeMat-Bulk | PBE-GGA | relaxed; values from VASP
&SYSTEM
  ibrav = 0, nat = 8, ntyp = 2
/
ATOMIC_SPECIES
Mg 24.30 Mg.upf
Zn 65.41 Zn.upf
ATOMIC_POSITIONS angstrom
Mg 0.755 1.193 0.549
Mg 0.755 3.578 2.353
Mg 2.265 1.193 7.676
Mg 2.265 3.578 9.480
Zn 0.755 1.193 5.290
Zn 0.755 3.578 6.963
Zn 2.265 1.193 3.066
Zn 2.265 3.578 4.739
CELL_PARAMETERS angstrom
3.019 0.000 0.000
0.000 4.771 0.000
0.000 0.000 10.029
! - Crystal system: orthorhombic
! - Electronic total energy: -1.421 eV per atom



No. 5
! MgZn | OQMD via LeMat-Bulk | PBE-GGA | relaxed; values from VASP
&SYSTEM
  ibrav = 0, nat = 16, ntyp = 2
/
ATOMIC_SPECIES
Mg 24.30 Mg.upf
Zn 65.41 Zn.upf
ATOMIC_POSITIONS angstrom
Mg 1.183 0.013 0.886
Mg 1.183 1.474 3.513
Mg 1.183 1.474 8.261
Mg 1.183 2.935 0.886
Mg 3.548 2.960 9.373
Mg 3.548 4.421 1.999
Mg 3.548 4.421 6.747
Mg 3.548 5.882 9.373
Zn 1.183 2.977 5.927
Zn 1.183 4.421 3.625
Zn 1.183 4.421 8.509
Zn 1.183 5.866 5.927
Zn 3.548 0.029 4.333
Zn 3.548 1.474 1.751
Zn 3.548 1.474 6.635
Zn 3.548 2.918 4.333
CELL_PARAMETERS angstrom
4.731 0.000 0.000
0.000 5.895 0.000
0.000 0.000 10.260
! - Crystal system: orthorhombic
! - Electronic total energy: -1.439 eV per atom



No. 6
! MgZn | OQMD via LeMat-Bulk | PBE-GGA | relaxed; values from VASP
&SYSTEM
  ibrav = 0, nat = 4, ntyp = 2
/
ATOMIC_SPECIES
Mg 24.30 Mg.upf
Zn 65.41 Zn.upf
ATOMIC_POSITIONS angstrom
Mg 1.162 0.000 0.970
Mg 3.486 0.000 3.931
Zn 1.162 1.553 3.345
Zn 3.486 1.553 1.556
CELL_PARAMETERS angstrom
4.648 0.000 0.000
0.000 3.106 0.000
0.000 0.000 4.901
! - Crystal system: orthorhombic
! - Electronic total energy: -1.493 eV per atom



No. 7
! MgZn | OQMD via LeMat-Bulk | PBE-GGA | relaxed; values from VASP
&SYSTEM
  ibrav = 0, nat = 16, ntyp = 2
/
ATOMIC_SPECIES
Mg 24.30 Mg.upf
Zn 65.41 Zn.upf
ATOMIC_POSITIONS angstrom
Mg 1.201 0.018 0.876
Mg 1.201 5.761 0.876
Mg 1.201 7.242 3.332
Mg 1.201 10.095 3.332
Mg 3.603 1.463 1.805
Mg 3.603 4.316 1.805
Mg 3.603 5.797 4.261
Mg 3.603 11.541 4.261
Zn 1.201 1.507 3.504
Zn 1.201 2.890 0.896
Zn 1.201 4.272 3.504
Zn 1.201 8.669 0.735
Zn 3.603 2.890 4.402
Zn 3.603 7.286 1.633
Zn 3.603 8.669 4.240
Zn 3.603 10.051 1.633
CELL_PARAMETERS angstrom
4.803 0.000 0.000
0.000 11.558 0.000
0.000 0.000 5.137
! - Crystal system: orthorhombic
! - Electronic total energy: -1.420 eV per atom



No. 8
! MgZn | OQMD via LeMat-Bulk | PBE-GGA | relaxed; values from VASP
&SYSTEM
  ibrav = 0, nat = 4, ntyp = 2
/
ATOMIC_SPECIES
Mg 24.30 Mg.upf
Zn 65.41 Zn.upf
ATOMIC_POSITIONS angstrom
Mg 0.765 1.216 0.501
Mg 2.295 3.647 4.448
Zn 0.765 3.647 2.008
Zn 2.295 1.216 2.941
CELL_PARAMETERS angstrom
3.060 0.000 0.000
0.000 4.863 0.000
0.000 0.000 4.949
! - Crystal system: orthorhombic
! - Electronic total energy: -1.419 eV per atom



No. 9
! MgZn | OQMD via LeMat-Bulk | PBE-GGA | relaxed; values from VASP
&SYSTEM
  ibrav = 0, nat = 12, ntyp = 2
/
ATOMIC_SPECIES
Mg 24.30 Mg.upf
Zn 65.41 Zn.upf
ATOMIC_POSITIONS angstrom
Mg 0.766 1.205 0.437
Mg 0.792 3.616 2.212
Mg 0.816 3.616 6.929
Mg 3.731 1.205 0.595
Mg 3.755 1.205 5.313
Mg 3.782 3.616 7.087
Zn -0.749 3.616 4.545
Zn 0.787 1.205 5.324
Zn 2.226 1.205 2.975
Zn 2.321 3.616 4.549
Zn 3.761 3.616 2.200
Zn 5.296 1.205 2.979
CELL_PARAMETERS angstrom
5.975 0.000 0.000
0.000 4.822 0.000
-1.428 0.000 7.524
! - Crystal system: monoclinic
! - Electronic total energy: -1.420 eV per atom



No. 10
! Mg3Zn4 | OQMD via LeMat-Bulk | PBE-GGA | relaxed; values from VASP
&SYSTEM
  ibrav = 0, nat = 14, ntyp = 2
/
ATOMIC_SPECIES
Mg 24.30 Mg.upf
Zn 65.41 Zn.upf
ATOMIC_POSITIONS angstrom
Mg -1.044 3.078 1.161
Mg -0.681 6.065 1.161
Mg 2.144 2.443 3.484
Mg 1.724 4.257 1.161
Mg 4.549 0.635 3.484
Mg 4.912 3.622 3.484
Zn -0.505 1.548 3.484
Zn -2.275 6.363 3.484
Zn 1.088 1.211 1.161
Zn 0.000 4.467 3.484
Zn 3.868 2.233 1.161
Zn 2.780 5.489 3.484
Zn 6.144 0.337 1.161
Zn 4.373 5.152 1.161
CELL_PARAMETERS angstrom
7.736 0.000 0.000
-3.868 6.700 0.000
0.000 0.000 4.645
! - Crystal system: hexagonal
! - Distance to the lowest polymorph of the same formula: 0.000 eV per formula unit



No. 11
! MgZn | OQMD via LeMat-Bulk | PBE-GGA | relaxed; values from VASP
&SYSTEM
  ibrav = 0, nat = 12, ntyp = 2
/
ATOMIC_SPECIES
Mg 24.30 Mg.upf
Zn 65.41 Zn.upf
ATOMIC_POSITIONS angstrom
Mg -0.008 1.204 0.892
Mg 1.497 3.612 1.857
Mg 1.509 3.612 6.601
Mg 3.020 1.204 0.918
Mg 3.032 1.204 5.663
Mg 4.537 3.612 6.628
Zn -0.026 3.612 4.178
Zn 0.040 1.204 5.806
Zn 1.455 1.204 3.388
Zn 3.074 3.612 4.131
Zn 4.489 3.612 1.714
Zn 4.554 1.204 3.341
CELL_PARAMETERS angstrom
5.977 0.000 0.000
0.000 4.816 0.000
-1.448 0.000 7.520
! - Crystal system: monoclinic
! - Electronic total energy: -1.419 eV per atom



No. 12
! Mg3Zn | OQMD via LeMat-Bulk | PBE-GGA | relaxed; values from VASP
&SYSTEM
  ibrav = 0, nat = 8, ntyp = 2
/
ATOMIC_SPECIES
Mg 24.30 Mg.upf
Zn 65.41 Zn.upf
ATOMIC_POSITIONS angstrom
Mg 1.220 0.002 0.895
Mg 1.220 1.522 3.475
Mg 1.220 3.041 0.895
Mg 3.659 6.085 4.500
Mg 3.659 3.046 4.500
Mg 3.659 4.566 1.920
Zn 1.220 4.566 3.662
Zn 3.659 1.522 1.733
CELL_PARAMETERS angstrom
4.879 0.000 0.000
0.000 6.088 0.000
0.000 0.000 5.395
! - Crystal system: orthorhombic
! - Electronic total energy: -1.507 eV per atom



> Number 11 is which compound?

MgZn



> Which formula does entry 8 have?

MgZn